Compound: MnHIr2Pd
Source: Alexandria via LeMat-Bulk
Functional: GGA-PBE
Structure: relaxed

Values from the calculation:
theoretical density: 14.95 g/cm³
energy: -7.05 eV per atom
symmetry: P4/mmm, No. 123

a = 3.9260 Å, b = 3.9260 Å, c = 3.9400 Å
α = 90.00°, β = 90.00°, γ = 90.00°
Last column: nearest neighbours and their distance in Å.
Fractional positions:
Mn1 0.0000 0.0000 0.0000  4 Pd 2.78, 8 Ir 2.78
H1 0.5000 0.5000 0.5000  4 Ir 1.96, 2 Pd 1.97
Ir1 0.0000 0.5000 0.5000  2 H 1.96
Ir2 0.5000 0.0000 0.5000  2 H 1.96
Pd1 0.5000 0.5000 0.0000  2 H 1.97



Compound: InNiAs2
Source: Alexandria via LeMat-Bulk
Functional: GGA-PBE
Structure: relaxed

Values from the calculation:
theoretical density: 6.66 g/cm³
symmetry: Cm, No. 8
ΔH_f (0 K): -0.041 eV per atom

a = 4.2508 Å, b = 4.2508 Å, c = 6.1562 Å
α = 108.93°, β = 108.93°, γ = 50.98°
Last column: nearest neighbours and their distance in Å.
Fractional positions:
In1 0.0000 0.0000 0.0000  4 As 2.81-2.90, 2 Ni 3.11
Ni1 0.3282 0.3282 0.5664  5 As 2.36-2.44
As1 0.6507 0.6507 0.6343  3 Ni 2.36-2.41, 1 As 2.62
As2 0.7726 0.7726 0.2870  2 Ni 2.44, 1 As 2.62